# 1
A plane-wave DFT calculation with PBE was carried out for an optimized crystal structure of MgTePd.

Geometry as POSCAR:
```
MgTePd
1.0
5.9603 0.0000 0.0000
0.0000 7.8421 0.0000
0.0000 0.0000 5.5866
Mg Te Pd
4 4 4
direct
0.1307 0.2500 0.1373
0.3693 0.7500 0.6373
0.6307 0.2500 0.3627
0.8693 0.7500 0.8627
0.0000 0.0000 0.5000
0.0000 0.5000 0.5000
0.5000 0.0000 0.0000
0.5000 0.5000 0.0000
0.2132 0.7500 0.1855
0.2868 0.2500 0.6855
0.7132 0.7500 0.3145
0.7868 0.2500 0.8145
```

Output
The volume comes out at 65.3 Å³/f.u. Its calculated density is 6.571 g cm⁻³. The calculation puts the energy at -45.2 eV per cell. The space-group type is Pnma, No. 62. The calculation puts the uncorrected formation energy at -44.2 kJ/mol of atoms.


# 2
A plane-wave DFT calculation with PBE was carried out for an optimized crystal structure of Rh2WAu.

Geometry as POSCAR:
```
Rh2WAu
1.0
1.4085 0.8132 9.1278
-1.4085 0.8132 9.1278
0.0000 -1.6264 9.1278
Rh W Au
2 1 1
direct
0.2441 0.2441 0.2441
0.7559 0.7559 0.7559
0.5000 0.5000 0.5000
0.0000 0.0000 0.0000
```

Output
As for the energy above the most stable polymorph in this dataset: 30.9 meV per atom. The volume comes out at 62.7 Å³/f.u. For the formation energy, the calculation gives -0.067 eV per atom. Its calculated density is 15.529 g cm⁻³. The calculation puts the energy at -31.2 eV per cell. The space-group type is R-3m, No. 166.


# 3
A plane-wave DFT calculation with PBE was carried out for an optimized crystal structure of MnVBRu2.

Geometry as POSCAR:
```
MnVBRu2
1.0
4.3943 0.0000 0.0000
0.0000 4.3943 0.0000
0.0000 0.0000 3.9441
Mn V B Ru
1 1 1 2
direct
0.0000 0.0000 0.0000
0.5000 0.5000 0.5000
0.5000 0.5000 0.0000
0.0000 0.5000 0.5000
0.5000 0.0000 0.5000
```

Output
The volume comes out at 76.2 Å³/f.u. For the formation energy, the calculation gives 1.604 eV per atom. Its calculated density is 6.952 g cm⁻³. The calculation puts the energy at -35.5 eV per cell. The space-group type is P4/mmm, No. 123.


# 4
A plane-wave DFT calculation with PBE was carried out for an optimized crystal structure of AlNi2Rh.

Geometry as POSCAR:
```
AlNi2Rh
1.0
1.3531 0.7812 8.0169
-1.3531 0.7812 8.0169
0.0000 -1.5624 8.0169
Al Ni Rh
1 2 1
direct
0.0000 0.0000 0.0000
0.4948 0.4948 0.4948
0.7463 0.7463 0.7463
0.2497 0.2497 0.2497
```

Output
The volume comes out at 50.8 Å³/f.u. For the formation energy, the calculation gives -0.200 eV per atom. Its calculated density is 8.076 g cm⁻³. The calculation puts the energy at -23.5 eV per cell. The space-group type is R3m, No. 160.


# 5
A plane-wave DFT calculation with PBE was carried out for an optimized crystal structure of Ac4As2Se.

Geometry as POSCAR:
```
Ac4As2Se
1.0
8.4787 -2.2022 0.0000
8.4787 2.2022 0.0000
-3.4505 0.0000 6.8438
Ac As Se
4 2 1
direct
0.1292 0.1292 0.2995
0.3705 0.3705 0.2059
0.6295 0.6295 0.7941
0.8708 0.8708 0.7005
0.2539 0.2539 0.7537
0.7461 0.7461 0.2463
0.0000 0.0000 0.5000
```

Output
The volume comes out at 255.6 Å³/f.u. Its calculated density is 7.386 g cm⁻³. The calculation puts the energy at -38.3 eV per cell. The space-group type is C2/m, No. 12. The calculation puts the uncorrected formation energy at -124.7 kJ/mol of atoms.


# 6
A plane-wave DFT calculation with PBE was carried out for an optimized crystal structure of Te2IrCl2.

Geometry as POSCAR:
```
Te2IrCl2
1.0
8.6654 0.0000 0.0000
0.0000 8.6654 0.0000
0.0000 0.0000 3.0055
Te Ir Cl
4 2 4
direct
0.2030 0.2970 0.0000
0.2970 0.7970 0.0000
0.7030 0.2030 0.0000
0.7970 0.7030 0.0000
0.0000 0.0000 0.5000
0.5000 0.5000 0.5000
0.1138 0.6138 0.5000
0.3862 0.1138 0.5000
0.6138 0.8862 0.5000
0.8862 0.3862 0.5000
```

Output
As for the energy above the most stable polymorph in this dataset: 0.0 meV per atom. The volume comes out at 112.8 Å³/f.u. Its calculated density is 7.628 g cm⁻³. The calculation puts the energy at -28.6 eV per cell. The space-group type is P4/mbm, No. 127. The calculation puts the uncorrected formation energy at 87.9 kJ/mol of atoms.


| no. | magnetic moment (μB per formula unit) |
| --- | --- |
| 1 | 0.00 |
| 2 | 0.00 |
| 3 | 0.02 |
| 4 | 0.67 |
| 5 | 0.74 |
| 6 | 0.85 |